# 1
The following is a PBE calculation of an optimized crystal structure of Ba2ReIr, from the Alexandria database.

## Properties
calculated density	8.46	g/cm³
E_form	0.471	eV per atom
polymorph energy (0 for the lowest one)	354	meV per atom

Unit cell a=3.941 b=3.436 c=9.480 alpha=93.31 beta=90.00 gamma=90.00
Positions (direct):
Ir  0.000  0.802  0.591
Ba  0.500  0.213  0.340
Ba  0.000  0.037  0.915
Re  0.500  0.448  0.654

=====

# 2
The following is a PBE calculation of an optimized crystal structure of MoSeS2N, from the Alexandria database.

## Properties
formation energy without anion corrections	6.593	eV/f.u.
calculated density	4.91	g/cm³
polymorph energy (0 for the lowest one)	894	meV per atom

Unit cell a=4.867 b=4.867 c=3.611 alpha=90.00 beta=90.00 gamma=90.00
Site moments in Bohr magnetons follow the coordinates.
Positions (direct):
Se  0.000  0.000  0.000  0.00
S  0.500  0.000  0.000  -0.13
S  0.000  0.500  0.000  -0.13
N  0.000  0.000  0.500  -0.09
Mo  0.500  0.500  0.500  3.06

=====

# 3
The following is a PBE calculation of an optimized crystal structure of CaLaZn, from the Alexandria database.

## Properties
calculated density	4.12	g/cm³
E_form	0.479	eV per atom
polymorph energy (0 for the lowest one)	655	meV per atom

Unit cell a=5.182 b=5.182 c=5.182 alpha=60.00 beta=60.00 gamma=60.00
Positions (direct):
Ca  0.500  0.500  0.500
La  0.750  0.750  0.750
Zn  0.000  0.000  0.000

=====

# 4
The following is a PBE calculation of an optimized crystal structure of Sb2TeRhAu, from the Alexandria database.

## Properties
formation energy without anion corrections	2.045	eV/f.u.
calculated density	8.08	g/cm³
polymorph energy (0 for the lowest one)	0	meV per atom

Unit cell a=5.037 b=5.037 c=5.437 alpha=90.00 beta=90.00 gamma=90.00
Positions (direct):
Rh  0.000  0.000  0.000
Au  0.500  0.500  0.500
Sb  0.000  0.500  0.000
Sb  0.500  0.000  0.000
Te  0.000  0.000  0.500

=====

# 5
The following is a PBE calculation of an optimized crystal structure of Re2IF, from the Alexandria database.

## Properties
formation energy without anion corrections	2.701	eV/f.u.
calculated density	12.02	g/cm³
polymorph energy (0 for the lowest one)	0	meV per atom

Unit cell a=4.078 b=4.078 c=9.080 alpha=77.02 beta=77.02 gamma=90.00
Positions (direct):
Re  0.542  0.125  0.250
Re  0.375  0.458  0.750
Re  0.208  0.625  0.250
Re  0.875  0.792  0.750
I  0.000  0.000  0.000
I  0.750  0.250  0.500
F  0.500  0.500  0.000
F  0.250  0.750  0.500

=====

# 6
The following is a PBE calculation of an optimized crystal structure of Ga2CoSn2, from the Alexandria database.

## Properties
calculated density	7.14	g/cm³
E_form	0.188	eV per atom
polymorph energy (0 for the lowest one)	0	meV per atom

Unit cell a=6.403 b=6.403 c=4.942 alpha=90.00 beta=90.00 gamma=90.00
Positions (direct):
Ga  0.156  0.344  0.000
Ga  0.656  0.156  0.000
Ga  0.844  0.656  0.000
Ga  0.344  0.844  0.000
Co  0.500  0.500  0.000
Co  0.000  0.000  0.000
Sn  0.823  0.323  0.500
Sn  0.677  0.823  0.500
Sn  0.323  0.177  0.500
Sn  0.177  0.677  0.500

=====

# 7
The following is a PBE calculation of an optimized crystal structure of VCo2NiH, from the Alexandria database.

## Properties
calculated density	8.24	g/cm³
polymorph energy (0 for the lowest one)	0	meV per atom

Unit cell a=3.619 b=3.619 c=3.516 alpha=90.00 beta=90.00 gamma=90.00
Positions (direct):
Co  0.000  0.500  0.000
Co  0.500  0.000  0.000
Ni  0.000  0.000  0.500
H  0.000  0.000  0.000
V  0.500  0.500  0.500

=====

# 8
The following is a PBE calculation of an optimized crystal structure of Li2Al3Zn4, from the Alexandria database.

## Properties
calculated density	4.26	g/cm³
E_form	-0.097	eV per atom
polymorph energy (0 for the lowest one)	0	meV per atom

Unit cell a=3.941 b=4.734 c=8.571 alpha=74.12 beta=89.50 gamma=65.42
Positions (direct):
Zn  0.003  0.989  0.333
Zn  0.334  0.332  0.110
Zn  0.666  0.668  0.890
Zn  0.997  0.011  0.667
Al  0.666  0.668  0.563
Al  0.334  0.332  0.437
Al  0.000  0.000  0.000
Li  0.333  0.335  0.783
Li  0.667  0.665  0.217